[1]
# Tl10In6Sn, relaxed, DFT PBE
# Fermi-level density of states: 8.9 states/eV/cell
# energy of formation: 44.4 meV per atom
data_Tl10In6Sn
_chemical_formula_sum 'Tl10 In6 Sn1'
_symmetry_space_group_name_H-M 'P -3 1 m'
_symmetry_Int_Tables_number 162
_symmetry_space_group_name_Hall '-P 3 2'
_cell_length_a 9.3837
_cell_length_b 9.3837
_cell_length_c 6.7398
_cell_angle_alpha 90.00
_cell_angle_beta 90.00
_cell_angle_gamma 120.00
loop_
_atom_site_label
_atom_site_fract_x
_atom_site_fract_y
_atom_site_fract_z
Tl1 0.0000 0.3068 0.3391
Tl2 0.3333 0.6667 0.0000
Tl3 0.3333 0.6667 0.5000
In1 0.0000 0.3384 0.8402
Sn1 0.0000 0.0000 0.0000

---

[2]
# YReAu2, relaxed, DFT PBE
# Fermi-level density of states: 17.1 states/eV/cell
# E above lowest polymorph: 0.4298 eV per atom
# energy of formation: 456.7 meV per atom
data_YReAu2
_chemical_formula_sum 'Y4 Re4 Au8'
_symmetry_space_group_name_H-M 'I -4 2 d'
_symmetry_Int_Tables_number 122
_symmetry_space_group_name_Hall 'I -4 2bw'
_cell_length_a 4.327
_cell_length_b 4.327
_cell_length_c 18.797
_cell_angle_alpha 90.00
_cell_angle_beta 90.00
_cell_angle_gamma 90.00
loop_
_atom_site_label
_atom_site_fract_x
_atom_site_fract_y
_atom_site_fract_z
Y1 0.000 0.000 0.000
Re1 0.000 0.000 0.500
Au1 0.203 0.250 0.625

---

[3]
# GdHfRh4, relaxed, DFT PBE
# Fermi-level density of states: 13.6 states/eV/cell
# energy of formation: -616.8 meV per atom
data_GdHfRh4
_chemical_formula_sum 'Gd4 Hf4 Rh16'
_symmetry_space_group_name_H-M 'F -4 3 m'
_symmetry_Int_Tables_number 216
_symmetry_space_group_name_Hall 'F -4 2 3'
_cell_length_a 7.461
_cell_length_b 7.461
_cell_length_c 7.461
_cell_angle_alpha 90.00
_cell_angle_beta 90.00
_cell_angle_gamma 90.00
loop_
_atom_site_label
_atom_site_fract_x
_atom_site_fract_y
_atom_site_fract_z
Gd1 0.000 0.000 0.000
Hf1 0.250 0.250 0.750
Rh1 0.125 0.125 0.375

---

[4]
# Mg2TcTe2, relaxed, DFT PBE
# Fermi-level density of states: 5.5 states/eV/cell
# formation energy from raw total energies: 2.367 eV per formula unit
data_Mg2TcTe2
_chemical_formula_sum 'Mg4 Tc2 Te4'
_symmetry_space_group_name_H-M 'I 4/m m m'
_symmetry_Int_Tables_number 139
_symmetry_space_group_name_Hall '-I 4 2'
_cell_length_a 5.586
_cell_length_b 5.586
_cell_length_c 8.550
_cell_angle_alpha 90.00
_cell_angle_beta 90.00
_cell_angle_gamma 90.00
loop_
_atom_site_label
_atom_site_fract_x
_atom_site_fract_y
_atom_site_fract_z
Mg1 0.000 0.000 0.172
Tc1 0.000 0.000 0.500
Te1 0.000 0.500 0.250

---

Q: The highest Fermi-level density of states belongs to which entry?
A: YReAu2